# Zn2TePt, relaxed, DFT PBE
data_Zn2TePt
_chemical_formula_sum 'Zn4 Te2 Pt2'
_space_group_name_H-M_alt 'C 1 m 1'
_space_group_IT_number 8
_space_group_name_Hall 'C -2y'
_cell_length_a 7.849
_cell_length_b 3.983
_cell_length_c 5.591
_cell_angle_alpha 90.00
_cell_angle_beta 91.31
_cell_angle_gamma 90.00
loop_
_atom_site_label
_atom_site_type_symbol
_atom_site_fract_x
_atom_site_fract_y
_atom_site_fract_z
Zn1 Zn 0.000 0.000 0.000
Zn2 Zn 0.196 0.500 0.854
Te1 Te 0.066 0.000 0.467
Pt1 Pt 0.383 0.000 0.719
# crystal system = monoclinic
# mass density = 8.620 g/cm3
# E = -3.1181 eV per atom
# D(E_F) = 0.352 states/eV/atom
# volume = 21.841 Å³/atom
# spin magnetization = 0.0 μB/cell
# raw formation energy = -0.185 eV/atom



# IrOsCl2, relaxed, DFT PBE
data_IrOsCl2
_chemical_formula_sum 'Ir2 Os2 Cl4'
_space_group_name_H-M_alt 'C m m 2'
_space_group_IT_number 35
_space_group_name_Hall 'C 2 -2'
_cell_length_a 2.804
_cell_length_b 5.283
_cell_length_c 9.800
_cell_angle_alpha 90.00
_cell_angle_beta 90.00
_cell_angle_gamma 90.00
loop_
_atom_site_label
_atom_site_type_symbol
_atom_site_fract_x
_atom_site_fract_y
_atom_site_fract_z
Ir1 Ir 0.000 0.000 0.000
Os1 Os 0.000 0.500 0.226
Cl1 Cl 0.000 0.000 0.427
Cl2 Cl 0.000 0.500 0.788
# crystal system = orthorhombic
# mass density = 10.373 g/cm3
# energy above the lowest structure with this stoichiometry = 438.7 meV per atom
# E = -5.3780 eV per atom
# D(E_F) = 1.394 states/eV/atom
# volume = 18.143 Å³/atom
# spin magnetization = 0.0 μB/cell
# raw formation energy = 0.568 eV/atom



# YTmMgGa, relaxed, DFT PBE
data_YTmMgGa
_chemical_formula_sum 'Y4 Tm4 Mg4 Ga4'
_space_group_name_H-M_alt 'F -4 3 m'
_space_group_IT_number 216
_space_group_name_Hall 'F -4 2 3'
_cell_length_a 7.261
_cell_length_b 7.261
_cell_length_c 7.261
_cell_angle_alpha 90.00
_cell_angle_beta 90.00
_cell_angle_gamma 90.00
loop_
_atom_site_label
_atom_site_type_symbol
_atom_site_fract_x
_atom_site_fract_y
_atom_site_fract_z
Y1 Y 0.000 0.000 0.000
Tm1 Tm 0.000 0.000 0.500
Mg1 Mg 0.250 0.250 0.750
Ga1 Ga 0.250 0.250 0.250
# crystal system = cubic
# mass density = 6.105 g/cm3
# E = -4.2307 eV per atom
# D(E_F) = 0.597 states/eV/atom
# volume = 23.927 Å³/atom
# spin magnetization = 0.0 μB/cell
# calculated formation energy = -0.341 eV per atom



# DyZrSe4, relaxed, DFT PBE
data_DyZrSe4
_chemical_formula_sum 'Dy4 Zr4 Se16'
_space_group_name_H-M_alt 'C 1 2/c 1'
_space_group_IT_number 15
_space_group_name_Hall '-C 2yc'
_cell_length_a 14.243
_cell_length_b 6.761
_cell_length_c 7.426
_cell_angle_alpha 90.00
_cell_angle_beta 116.03
_cell_angle_gamma 90.00
loop_
_atom_site_label
_atom_site_type_symbol
_atom_site_fract_x
_atom_site_fract_y
_atom_site_fract_z
Dy1 Dy 0.000 0.161 0.250
Zr1 Zr 0.250 0.250 0.000
Se1 Se 0.090 0.469 0.914
Se2 Se 0.153 0.028 0.650
# crystal system = monoclinic
# mass density = 5.887 g/cm3
# E = -5.7190 eV per atom
# D(E_F) = 0.200 states/eV/atom
# volume = 26.775 Å³/atom
# spin magnetization = 0.0 μB/cell
# raw formation energy = -1.204 eV/atom